# Ag5Sn2Se5 (PBE-GGA, relaxed)
# M_tot ... 0.000 μB/f.u.
# Energy ... -3.387 eV per atom
# Formation energy from raw total energies ... -8 kJ per mole of atoms
data_Ag5Sn2Se5
_cell_length_a 13.5568
_cell_length_b 4.0337
_cell_length_c 10.9492
_cell_angle_alpha 90.00
_cell_angle_beta 105.88
_cell_angle_gamma 90.00
_space_group_name_H-M_alt 'C 1 2/m 1'
_space_group_IT_number 12
loop_
_space_group_symop_operation_xyz
'x,y,z'
'-x,-y,-z'
'-x,y,-z'
'x,-y,z'
'x+1/2,y+1/2,z'
'-x+1/2,-y+1/2,-z'
'-x+1/2,y+1/2,-z'
'x+1/2,-y+1/2,z'
loop_
_atom_site_label
_atom_site_type_symbol
_atom_site_fract_x
_atom_site_fract_y
_atom_site_fract_z
Ag1 Ag 0.0000 0.0000 0.0000
Ag2 Ag 0.1531 0.0000 0.5529
Ag3 Ag 0.2168 0.0000 0.8370
Sn1 Sn 0.0533 0.5000 0.2699
Se1 Se 0.0000 0.5000 0.5000
Se2 Se 0.1210 0.5000 0.9388
Se3 Se 0.2081 0.0000 0.3102

# Ag8SnSe6 (PBE-GGA, relaxed)
# M_tot ... 0.000 μB/f.u.
# Energy ... -3.327 eV per atom
# Formation energy from raw total energies ... -14 kJ per mole of atoms
data_Ag8SnSe6
_cell_length_a 8.1216
_cell_length_b 7.9181
_cell_length_c 11.1819
_cell_angle_alpha 90.00
_cell_angle_beta 90.00
_cell_angle_gamma 90.00
_space_group_name_H-M_alt 'P m n 21'
_space_group_IT_number 31
loop_
_space_group_symop_operation_xyz
'x,y,z'
'-x+1/2,-y,z+1/2'
'-x,y,z'
'x+1/2,-y,z+1/2'
loop_
_atom_site_label
_atom_site_type_symbol
_atom_site_fract_x
_atom_site_fract_y
_atom_site_fract_z
Ag1 Ag 0.0000 0.1241 0.0000
Ag2 Ag 0.0000 0.2009 0.5694
Ag3 Ag 0.1927 0.0272 0.7756
Ag4 Ag 0.2117 0.6132 0.1710
Ag5 Ag 0.2249 0.6689 0.8992
Sn1 Sn 0.0000 0.7477 0.5204
Se1 Se 0.0000 0.0060 0.3829
Se2 Se 0.0000 0.3050 0.7914
Se3 Se 0.0000 0.5037 0.3685
Se4 Se 0.0000 0.7901 0.0356
Se5 Se 0.2395 0.2567 0.1476